(1)
Entry from the Alexandria database: a relaxed Dy4GaBiTe2 crystal (PBE-GGA).

For the density of states at the Fermi level, the calculation gives 2.11 states/eV/f.u. As for the uncorrected formation energy: -99 kJ/mol of atoms.

It has space group P2/m (No. 10), with a = 7.5966 Å, b = 4.2748 Å, c = 7.6188 Å, α = 90.00°, β = 108.72° and γ = 90.00°. The inequivalent atoms are Dy at (0.2320, 0.0000, 0.2329), Dy at (0.2348, 0.5000, 0.7619), Ga at (0.0000, 0.5000, 0.0000), Bi at (0.0000, 0.0000, 0.5000), Te at (0.5000, 0.0000, 0.0000) and Te at (0.5000, 0.5000, 0.5000).



(2)
Entry from the Alexandria database: a relaxed GdDyBi crystal (PBE-GGA).

For the density of states at the Fermi level, the calculation gives 2.47 states/eV/f.u. The value obtained for the formation energy is -1.52 eV/f.u.

It has space group I4mm (No. 107), with a = 4.0788 Å, b = 4.0788 Å, c = 10.7691 Å, α = 90.00°, β = 90.00° and γ = 90.00°. The inequivalent atoms are Gd at (0.0000, 0.0000, 0.0000), Dy at (0.0000, 0.0000, 0.3138) and Bi at (0.0000, 0.0000, 0.6601).



(3)
Entry from the Alexandria database: a relaxed GdDy2Bi crystal (PBE-GGA).

Its energy above the most stable polymorph in this dataset is 0.00 kJ per mole of atoms. For the density of states at the Fermi level, the calculation gives 4.58 states/eV/f.u. The value obtained for the formation energy is -1.46 eV/f.u.

It has space group P4/mmm (No. 123), with a = 4.9239 Å, b = 4.9239 Å, c = 4.8107 Å, α = 90.00°, β = 90.00° and γ = 90.00°. The inequivalent atoms are Gd at (0.0000, 0.0000, 0.0000), Dy at (0.0000, 0.5000, 0.5000) and Bi at (0.5000, 0.5000, 0.0000).



(4)
Entry from the Alexandria database: a relaxed GdDyBi crystal (PBE-GGA).

For the density of states at the Fermi level, the calculation gives 3.77 states/eV/f.u. The value obtained for the formation energy is -0.86 eV/f.u.

It has space group P3m1 (No. 156), with a = 5.2721 Å, b = 5.2721 Å, c = 3.8888 Å, α = 90.00°, β = 90.00° and γ = 120.00°. The inequivalent atoms are Gd at (0.0000, 0.0000, 0.0000), Dy at (0.3333, 0.6667, 0.5364) and Bi at (0.6667, 0.3333, 0.2886).



In μB/f.u., the magnetization values for the records above are, in order, 0.00, 8.14, 7.91, 7.42.